No. 1
Computed, not measured: a geometry-optimized HgAuBr3 structure at the PBE level of DFT.

Final energy   -2.0029 eV per atom
Energy above the most stable polymorph in this dataset   0.000 eV/atom
D(E_F)   0.00 states/eV/cell
Formation energy without anion corrections   -0.28 eV per atom
Symmetry   P2_1/c, No. 14

Cell: 6.9211 8.8528 14.3517 Å, 90.00 114.94 90.00°
Atoms (fractional coordinates):
Hg (0.0717, 0.1668, 0.0868)
Hg (0.0717, 0.3332, 0.5868)
Hg (0.9283, 0.6668, 0.4132)
Hg (0.9283, 0.8332, 0.9132)
Au (0.3716, 0.6858, 0.8444)
Au (0.3716, 0.8142, 0.3444)
Au (0.6284, 0.1858, 0.6556)
Au (0.6284, 0.3142, 0.1556)
Br (0.1209, 0.0989, 0.9130)
Br (0.1209, 0.4011, 0.4130)
Br (0.1814, 0.5894, 0.9406)
Br (0.1814, 0.9106, 0.4406)
Br (0.4386, 0.2173, 0.2518)
Br (0.4386, 0.2827, 0.7518)
Br (0.5614, 0.7173, 0.2482)
Br (0.5614, 0.7827, 0.7482)
Br (0.8186, 0.0894, 0.5594)
Br (0.8186, 0.4106, 0.0594)
Br (0.8791, 0.5989, 0.5870)
Br (0.8791, 0.9011, 0.0870)

No. 2
Computed, not measured: a geometry-optimized Hg3AuBr structure at the PBE level of DFT.

Final energy   -1.2551 eV per atom
Energy above the most stable polymorph in this dataset   0.033 eV/atom
D(E_F)   1.00 states/eV/cell
Formation energy without anion corrections   -0.08 eV per atom
Symmetry   Pm-3m, No. 221

Cell: 5.4160 5.4160 5.4160 Å, 90.00 90.00 90.00°
Atoms (fractional coordinates):
Hg (0.0000, 0.0000, 0.5000)
Hg (0.0000, 0.5000, 0.0000)
Hg (0.5000, 0.0000, 0.0000)
Au (0.0000, 0.0000, 0.0000)
Br (0.5000, 0.5000, 0.5000)

No. 3
Computed, not measured: a geometry-optimized Hg4AuIBr2 structure at the PBE level of DFT.

Final energy   -1.3617 eV per atom
Formation energy without anion corrections   -0.19 eV per atom
Symmetry   Pmn2_1, No. 31

Cell: 14.7291 7.1591 7.2784 Å, 90.00 90.00 90.00°
Atoms (fractional coordinates):
Hg (0.0000, 0.1360, 0.0000)
Hg (0.0000, 0.6636, 0.5538)
Hg (0.1776, 0.8942, 0.2419)
Hg (0.3224, 0.1058, 0.7419)
Hg (0.5000, 0.3364, 0.0538)
Hg (0.5000, 0.8640, 0.5000)
Hg (0.6776, 0.1058, 0.7419)
Hg (0.8224, 0.8942, 0.2419)
Au (0.0000, 0.8641, 0.2480)
Au (0.5000, 0.1359, 0.7480)
I (0.0000, 0.5293, 0.9247)
I (0.5000, 0.4707, 0.4247)
Br (0.1471, 0.0713, 0.6937)
Br (0.3529, 0.9287, 0.1937)
Br (0.6471, 0.9287, 0.1937)
Br (0.8529, 0.0713, 0.6937)

No. 4
Computed, not measured: a geometry-optimized InHgAu2Br structure at the PBE level of DFT.

Final energy   -1.9376 eV per atom
D(E_F)   1.53 states/eV/cell
Formation energy without anion corrections   0.32 eV per atom
Symmetry   P4/mmm, No. 123

Cell: 5.2251 5.2251 6.2209 Å, 90.00 90.00 90.00°
Atoms (fractional coordinates):
In (0.0000, 0.0000, 0.0000)
Hg (0.0000, 0.0000, 0.5000)
Au (0.0000, 0.5000, 0.5000)
Au (0.5000, 0.0000, 0.5000)
Br (0.5000, 0.5000, 0.0000)

No. 5
Computed, not measured: a geometry-optimized K2HgAuBr6 structure at the PBE level of DFT.

Final energy   -2.4486 eV per atom
Energy above the most stable polymorph in this dataset   0.000 eV/atom
D(E_F)   3.47 states/eV/cell
Formation energy without anion corrections   -0.87 eV per atom
Symmetry   P-1, No. 2

Cell: 7.0591 7.0797 8.7058 Å, 69.66 69.28 63.69°
Atoms (fractional coordinates):
K (0.2083, 0.2031, 0.3118)
K (0.7917, 0.7969, 0.6882)
Hg (0.0000, 0.0000, 0.0000)
Au (0.5000, 0.5000, 0.5000)
Br (0.1967, 0.6877, 0.3353)
Br (0.2288, 0.2246, 0.9085)
Br (0.3076, 0.8054, 0.6638)
Br (0.6924, 0.1946, 0.3362)
Br (0.7712, 0.7754, 0.0915)
Br (0.8033, 0.3123, 0.6647)

No. 6
Computed, not measured: a geometry-optimized KHgAuBr2 structure at the PBE level of DFT.

Final energy   -1.4978 eV per atom
D(E_F)   1.70 states/eV/cell
Formation energy without anion corrections   0.11 eV per atom
Symmetry   P4/mmm, No. 123

Cell: 6.0829 6.0829 6.1322 Å, 90.00 90.00 90.00°
Atoms (fractional coordinates):
K (0.0000, 0.0000, 0.0000)
Hg (0.0000, 0.0000, 0.5000)
Au (0.5000, 0.5000, 0.5000)
Br (0.0000, 0.5000, 0.0000)
Br (0.5000, 0.0000, 0.0000)